DFT (GGA-PBE) results for a relaxed CuW2SeI crystal.

Computed properties:
Density: 9.62 g/cm³
Polymorph energy (0 for the lowest one): 246 meV/atom
Raw formation energy: 2.090 eV per atom

Cell: 4.7931 4.7931 4.7870 Å, 90.00 90.00 90.00°
Closest atoms and distances in Å follow each position.
Space group P4/mmm (No. 123)
Symmetry-distinct sites (fractional):
Cu1 0.0000 0.0000 0.0000  2 I 2.39, 4 W 2.40
W1 0.0000 0.5000 0.0000  2 Cu 2.40
Se1 0.5000 0.5000 0.5000  8 W 3.39, 4 I 3.39
I1 0.0000 0.0000 0.5000  2 Cu 2.39